[1]
Material: Ac2DySi3Ni12
Method: DFT, GGA-PBE
State: optimized geometry

## Properties
**Formation energy from raw total energies**: 0.0376 eV per atom

a = 7.9712 Å, b = 7.9712 Å, c = 7.9712 Å
α = 55.73°, β = 55.73°, γ = 55.73°
Fractional coordinates of all 18 atoms:
Ni  0.3525  0.3525  0.8766
Ni  0.1569  0.1569  0.5135
Ni  0.8431  0.8431  0.4865
Si  0.5000  0.0000  0.0000
Ni  0.3525  0.8766  0.3525
Ni  0.6475  0.1234  0.6475
Ni  0.1234  0.6475  0.6475
Ni  0.4865  0.8431  0.8431
Ni  0.1569  0.5135  0.1569
Ni  0.8431  0.4865  0.8431
Ni  0.8766  0.3525  0.3525
Ac  0.6052  0.6052  0.6052
Ni  0.5135  0.1569  0.1569
Si  0.0000  0.0000  0.5000
Si  0.0000  0.5000  0.0000
Ac  0.3948  0.3948  0.3948
Dy  0.0000  0.0000  0.0000
Ni  0.6475  0.6475  0.1234

[2]
Material: BaMg2Cr
Method: DFT, GGA-PBE
State: optimized geometry

## Properties
**Energy of formation**: 0.89 eV per atom
**Offset from the most stable computed form**: 556 meV/atom

a = 5.3199 Å, b = 5.3199 Å, c = 5.3199 Å
α = 60.00°, β = 60.00°, γ = 60.00°
Fractional coordinates of all 4 atoms:
Ba  0.5000  0.5000  0.5000
Mg  0.7500  0.7500  0.7500
Mg  0.2500  0.2500  0.2500
Cr  0.0000  0.0000  0.0000

[3]
Material: CeMg2Hg2
Method: DFT, GGA-PBE
State: optimized geometry

## Properties
**Energy of formation**: -0.25 eV per atom

a = 4.4137 Å, b = 4.4137 Å, c = 7.1818 Å
α = 107.90°, β = 107.90°, γ = 90.00°
Fractional coordinates of all 5 atoms:
Hg  0.6108  0.6109  0.2217
Mg  0.7500  0.2500  0.5000
Mg  0.2500  0.7500  0.5000
Ce  0.0000  0.0000  0.0000
Hg  0.3892  0.3891  0.7783

[4]
Material: LiTiPO4
Method: DFT, GGA-PBE
State: optimized geometry

## Properties
**Formation energy from raw total energies**: -2.2416 eV per atom

a = 4.7164 Å, b = 6.1079 Å, c = 10.6905 Å
α = 90.00°, β = 90.00°, γ = 90.00°
Fractional coordinates of all 28 atoms:
O  0.2963  0.2500  0.9575
P  0.4227  0.2500  0.0915
O  0.7117  0.9517  0.8382
Li  0.0000  0.5000  0.0000
P  0.5773  0.7500  0.9085
P  0.0773  0.2500  0.5915
O  0.2483  0.7500  0.4072
Li  0.5000  0.0000  0.5000
Ti  0.9833  0.2500  0.2770
O  0.7517  0.2500  0.5928
O  0.2883  0.4517  0.1618
O  0.7117  0.5483  0.8382
Ti  0.4833  0.7500  0.2230
Ti  0.0167  0.7500  0.7230
P  0.9227  0.7500  0.4085
O  0.7963  0.7500  0.5425
O  0.7483  0.2500  0.0928
O  0.2037  0.2500  0.4575
O  0.2117  0.4517  0.6618
Ti  0.5167  0.2500  0.7770
Li  0.0000  0.0000  0.0000
O  0.7883  0.5483  0.3382
O  0.7883  0.9517  0.3382
O  0.2117  0.0483  0.6618
O  0.2517  0.7500  0.9072
Li  0.5000  0.5000  0.5000
O  0.7037  0.7500  0.0425
O  0.2883  0.0483  0.1618

[5]
Material: CsGa5
Method: DFT, GGA-PBE
State: optimized geometry

## Properties
**Energy of formation**: 0.13 eV per atom
**Offset from the most stable computed form**: 198 meV/atom

a = 5.1478 Å, b = 5.6288 Å, c = 6.3595 Å
α = 116.27°, β = 90.00°, γ = 90.00°
Fractional coordinates of all 6 atoms:
Ga  0.5000  0.7350  0.4700
Cs  0.0000  0.0000  0.0000
Ga  0.0000  0.3104  0.6207
Ga  0.5000  0.2650  0.5300
Ga  0.0000  0.6896  0.3793
Ga  0.5000  0.5000  0.0000

[6]
Material: EuNpRu2
Method: DFT, GGA-PBE
State: optimized geometry

## Properties
**Energy of formation**: -0.04 eV per atom

a = 3.3316 Å, b = 3.3316 Å, c = 7.3451 Å
α = 90.00°, β = 90.00°, γ = 90.00°
Fractional coordinates of all 4 atoms:
Np  0.5000  0.5000  0.0000
Ru  0.0000  0.0000  0.2001
Ru  0.0000  0.0000  0.7999
Eu  0.5000  0.5000  0.5000

[7]
Material: Sm3DyHo3
Method: DFT, GGA-PBE
State: optimized geometry

## Properties
**Energy of formation**: 0.02 eV per atom
**Offset from the most stable computed form**: 0 meV/atom

a = 5.7147 Å, b = 9.5941 Å, c = 9.5933 Å
α = 120.00°, β = 90.00°, γ = 90.00°
Fractional coordinates of all 14 atoms:
Sm  0.7500  0.7589  0.8072
Ho  0.2500  0.3826  0.9051
Ho  0.2500  0.0951  0.4777
Sm  0.2500  0.9516  0.7586
Sm  0.2500  0.8073  0.0486
Ho  0.7500  0.9049  0.5223
Sm  0.7500  0.1927  0.9514
Sm  0.2500  0.2411  0.1928
Dy  0.2500  0.6666  0.3333
Ho  0.7500  0.4774  0.3824
Sm  0.7500  0.0484  0.2414
Dy  0.7500  0.3334  0.6667
Ho  0.2500  0.5226  0.6176
Ho  0.7500  0.6174  0.0949

[8]
Material: Cd4PS2Br
Method: DFT, GGA-PBE
State: optimized geometry

## Properties
**Formation energy from raw total energies**: -0.3234 eV per atom

a = 7.9500 Å, b = 7.9500 Å, c = 8.0312 Å
α = 120.34°, β = 120.34°, γ = 89.83°
Fractional coordinates of all 16 atoms:
Cd  0.2602  0.2399  0.4929
Cd  0.2669  0.7810  0.0240
S  0.5000  0.5000  0.0000
S  0.0000  0.0000  0.5000
Cd  0.2601  0.2398  0.0071
Cd  0.7331  0.2190  0.9760
S  0.5000  0.0000  0.5000
P  0.0000  0.0000  0.0000
Cd  0.7190  0.2331  0.4760
Br  0.0000  0.5000  0.5000
Cd  0.2810  0.7669  0.5240
S  0.5000  0.0000  0.0000
Br  0.0000  0.5000  0.0000
P  0.5000  0.5000  0.5000
Cd  0.7398  0.7601  0.5071
Cd  0.7399  0.7602  0.9929

[9]
Material: Cs8Br6F
Method: DFT, GGA-PBE
State: optimized geometry

## Properties
**Formation energy from raw total energies**: -1.6948 eV per atom

a = 7.5946 Å, b = 10.6479 Å, c = 10.6477 Å
α = 120.00°, β = 90.00°, γ = 90.00°
Fractional coordinates of all 15 atoms:
Br  0.7252  0.9999  0.6141
Cs  0.7411  0.2470  0.0001
F  0.5000  0.0000  0.0000
Br  0.7252  0.6142  0.0001
Cs  0.4990  0.6667  0.3333
Cs  0.7411  0.9999  0.2469
Br  0.2748  0.0001  0.3859
Br  0.2748  0.6141  0.6142
Br  0.7252  0.3859  0.3858
Cs  0.2589  0.7530  0.9999
Cs  0.2589  0.0001  0.7531
Cs  0.2589  0.2469  0.2470
Cs  0.5010  0.3333  0.6667
Br  0.2748  0.3858  0.9999
Cs  0.7411  0.7531  0.7530

[10]
Material: InIrPb4
Method: DFT, GGA-PBE
State: optimized geometry

## Properties
**Energy of formation**: 0.75 eV per atom

a = 6.2813 Å, b = 6.2813 Å, c = 6.2813 Å
α = 60.00°, β = 60.00°, γ = 60.00°
Fractional coordinates of all 6 atoms:
Pb  0.3742  0.3742  0.3742
Ir  0.0000  0.0000  0.0000
Pb  0.3742  0.3742  0.8773
Pb  0.8773  0.3742  0.3742
Pb  0.3742  0.8773  0.3742
In  0.7500  0.7500  0.7500

[11]
Material: Er12CuNi6
Method: DFT, GGA-PBE
State: optimized geometry

## Properties
**Energy of formation**: -0.17 eV per atom

a = 7.9830 Å, b = 7.9830 Å, c = 7.9830 Å
α = 101.22°, β = 101.22°, γ = 101.22°
Fractional coordinates of all 19 atoms:
Ni  0.1377  0.6182  0.3144
Er  0.8248  0.5885  0.4329
Cu  0.0000  0.0000  0.0000
Er  0.4115  0.5671  0.1752
Ni  0.6856  0.8623  0.3818
Ni  0.6182  0.3144  0.1377
Ni  0.8623  0.3818  0.6856
Er  0.9432  0.3268  0.0836
Er  0.0836  0.9432  0.3268
Er  0.9164  0.0568  0.6732
Ni  0.3144  0.1377  0.6182
Er  0.6732  0.9164  0.0568
Er  0.3268  0.0836  0.9432
Ni  0.3818  0.6856  0.8623
Er  0.0568  0.6732  0.9164
Er  0.1752  0.4115  0.5671
Er  0.5885  0.4329  0.8248
Er  0.5671  0.1752  0.4115
Er  0.4329  0.8248  0.5885

[12]
Material: GdTmMgNi
Method: DFT, GGA-PBE
State: optimized geometry

## Properties
**Energy of formation**: -0.12 eV per atom

a = 5.0393 Å, b = 5.0393 Å, c = 5.0393 Å
α = 60.00°, β = 60.00°, γ = 60.00°
Fractional coordinates of all 4 atoms:
Mg  0.5000  0.5000  0.5000
Ni  0.0000  0.0000  0.0000
Gd  0.7500  0.7500  0.7500
Tm  0.2500  0.2500  0.2500

no.,final energy (eV/atom),calculated volume (Å³/cell)
1,-5.433,323
2,-2.795,106
3,-2.198,126
4,-7.249,308
5,-2.537,165
6,-10.482,82
7,-4.625,456
8,-2.698,356
9,-2.944,746
10,-3.655,175
11,-5.093,475
12,-6.598,90